one) CoAgSb2I after structural relaxation. Source: the Alexandria database, functional GGA-PBE.

Computed properties:
Fermi-level density of states ... 7.6 states/eV/f.u.
SG ... No. 123

Cell and atoms, written as POSCAR:
```
CoAgSb2I
1.0
5.3594 0.0000 0.0000
0.0000 5.3594 0.0000
0.0000 0.0000 5.6453
Co Ag Sb I
1 1 2 1
Cartesian
0.0000 0.0000 0.0000
2.6797 2.6797 2.8227
0.0000 2.6797 2.8227
2.6797 0.0000 2.8227
2.6797 2.6797 0.0000
```



two) CoAgSb2I after structural relaxation. Source: the Alexandria database, functional GGA-PBE.

Computed properties:
Fermi-level density of states ... 3.2 states/eV/f.u.
SG ... No. 123

Cell and atoms, written as POSCAR:
```
CoAgSb2I
1.0
4.8470 0.0000 0.0000
0.0000 4.8470 0.0000
0.0000 0.0000 5.7218
Co Ag Sb I
1 1 2 1
Cartesian
0.0000 0.0000 0.0000
2.4235 2.4235 2.8609
0.0000 2.4235 0.0000
2.4235 0.0000 0.0000
0.0000 0.0000 2.8609
```



Decreasing stability: two), one)



one) CoAgSbI2 after structural relaxation. Source: the Alexandria database, functional GGA-PBE.

Computed properties:
Fermi-level density of states ... 7.7 states/eV/f.u.
SG ... No. 123

Cell and atoms, written as POSCAR:
```
CoAgSbI2
1.0
5.6753 0.0000 0.0000
0.0000 5.6753 0.0000
0.0000 0.0000 5.4588
Co Ag Sb I
1 1 1 2
Cartesian
0.0000 0.0000 0.0000
2.8377 2.8377 2.7294
2.8377 2.8377 0.0000
0.0000 2.8377 2.7294
2.8377 0.0000 2.7294
```



two) CoAgSbI2 after structural relaxation. Source: the Alexandria database, functional GGA-PBE.

Computed properties:
Fermi-level density of states ... 3.1 states/eV/f.u.
SG ... No. 123

Cell and atoms, written as POSCAR:
```
CoAgSbI2
1.0
5.4910 0.0000 0.0000
0.0000 5.4910 0.0000
0.0000 0.0000 4.7289
Co Ag Sb I
1 1 1 2
Cartesian
0.0000 0.0000 0.0000
2.7455 2.7455 2.3645
0.0000 0.0000 2.3645
0.0000 2.7455 0.0000
2.7455 0.0000 0.0000
```



Decreasing stability: two), one)



one) CoAgTe2I after structural relaxation. Source: the Alexandria database, functional GGA-PBE.

Computed properties:
Fermi-level density of states ... 5.1 states/eV/f.u.
SG ... No. 123

Cell and atoms, written as POSCAR:
```
CoAgTe2I
1.0
4.9408 0.0000 0.0000
0.0000 4.9408 0.0000
0.0000 0.0000 5.8385
Co Ag Te I
1 1 2 1
Cartesian
0.0000 0.0000 0.0000
2.4704 2.4704 2.9193
0.0000 2.4704 0.0000
2.4704 0.0000 0.0000
0.0000 0.0000 2.9193
```



two) CoAgTe2I after structural relaxation. Source: the Alexandria database, functional GGA-PBE.

Computed properties:
Fermi-level density of states ... 7.8 states/eV/f.u.
SG ... No. 123

Cell and atoms, written as POSCAR:
```
CoAgTe2I
1.0
5.4534 0.0000 0.0000
0.0000 5.4534 0.0000
0.0000 0.0000 5.5877
Co Ag Te I
1 1 2 1
Cartesian
0.0000 0.0000 0.0000
2.7267 2.7267 2.7938
0.0000 2.7267 2.7938
2.7267 0.0000 2.7938
2.7267 2.7267 0.0000
```



Decreasing stability: one), two)